1.
This record from Alexandria describes an optimized crystal structure of NiC2. The functional is PBE.

Summary:
ΔE_f: 1.821 eV per atom
ΔE to the lowest computed polymorph: 406 kJ/mol of formula units

abc: 3.4532 3.4532 3.9012
angles: 90.00 90.00 90.00
With the nearest neighbours (Å) after each atom.
Fractional positions:
Ni  0.5000  0.0000  0.5299  2 C 1.91-1.99
Ni  0.0000  0.5000  0.4701  2 C 1.91-1.99
C  0.0000  0.0000  0.0000  4 C 1.73
C  0.5000  0.5000  0.0000  4 C 1.73
C  0.5000  0.0000  0.0394  4 C 1.73, 1 Ni 1.91
C  0.0000  0.5000  0.9606  4 C 1.73, 1 Ni 1.91


2.
This record from Alexandria describes an optimized crystal structure of MnBe2CuS. The functional is PBE.

Summary:
raw formation energy: 0.6640 eV/atom

abc: 4.1491 4.0198 4.1491
angles: 90.00 90.00 90.00
With the nearest neighbours (Å) after each atom.
Fractional positions:
Be  0.0000  0.0000  0.5000  2 Mn 2.07
Be  0.5000  0.0000  0.0000  2 Mn 2.07
S  0.0000  0.5000  0.0000  2 Mn 2.01
Mn  0.0000  0.0000  0.0000  2 S 2.01, 4 Be 2.07
Cu  0.5000  0.5000  0.5000  8 Be 2.89, 4 S 2.93


3.
This record from Alexandria describes an optimized crystal structure of Y3Al2Au. The functional is PBE.

Summary:
ΔE_f: -0.550 eV per atom

abc: 3.6076 3.6076 10.8735
angles: 90.00 90.00 90.00
With the nearest neighbours (Å) after each atom.
Fractional positions:
Y  0.0000  0.0000  0.0000  8 Al 3.13
Y  0.0000  0.0000  0.6645  4 Au 3.12, 4 Al 3.15
Y  0.0000  0.0000  0.3355  4 Au 3.12, 4 Al 3.15
Al  0.5000  0.5000  0.8340  8 Y 3.13-3.15
Al  0.5000  0.5000  0.1660  8 Y 3.13-3.15
Au  0.5000  0.5000  0.5000  8 Y 3.12


4.
This record from Alexandria describes an optimized crystal structure of As2P2Se. The functional is PBE.

Summary:
raw formation energy: 0.4313 eV/atom
ΔE to the lowest computed polymorph: 24 kJ/mol of formula units

abc: 4.0998 4.0998 6.6793
angles: 72.13 72.13 90.00
With the nearest neighbours (Å) after each atom.
Fractional positions:
P  0.7500  0.2500  0.5000  4 As 2.52
P  0.2500  0.7500  0.5000  4 As 2.52
As  0.3723  0.3723  0.2554  4 P 2.52
As  0.6277  0.6277  0.7446  4 P 2.52
Se  0.0000  0.0000  0.0000  8 As 3.28, 8 P 3.64


5.
This record from Alexandria describes an optimized crystal structure of Ni2GeSe4. The functional is PBE.

Summary:
raw formation energy: -0.1426 eV/atom

abc: 6.6174 6.6174 7.7292
angles: 115.35 115.35 90.00
With the nearest neighbours (Å) after each atom.
Fractional positions:
Ni  0.3750  0.1250  0.7500  4 Se 2.30-2.34
Ni  0.3750  0.6250  0.7500  4 Se 2.30-2.34
Ni  0.3750  0.6250  0.2500  4 Se 2.30-2.34
Ni  0.8750  0.6250  0.2500  4 Se 2.30-2.34
Ge  0.7500  0.2500  0.5000  4 Se 2.69
Ge  0.0000  0.0000  0.0000  4 Se 2.69
Se  0.3634  0.0048  0.4126  2 Ni 2.30-2.34
Se  0.7008  0.8421  0.0874  2 Ni 2.30-2.34
Se  0.5921  0.6366  0.5874  2 Ni 2.30-2.34
Se  0.7548  0.2992  0.9126  2 Ni 2.30-2.34
Se  0.9952  0.9508  0.5874  2 Ni 2.30-2.34
Se  0.1579  0.6134  0.9126  2 Ni 2.30-2.34
Se  0.0492  0.4079  0.4126  2 Ni 2.30-2.34
Se  0.3866  0.2452  0.0874  2 Ni 2.30-2.34


6.
This record from Alexandria describes an optimized crystal structure of Pm2AgRu. The functional is PBE.

Summary:
ΔE_f: -0.280 eV per atom
ΔE to the lowest computed polymorph: 0 kJ/mol of formula units

abc: 3.5047 3.5047 7.7142
angles: 90.00 90.00 90.00
With the nearest neighbours (Å) after each atom.
Fractional positions:
Ru  0.5000  0.5000  0.0000  8 Pm 3.02
Ag  0.5000  0.5000  0.5000  8 Pm 3.27, 4 Ag 3.50
Pm  0.0000  0.0000  0.7768  4 Ru 3.02, 4 Ag 3.27
Pm  0.0000  0.0000  0.2232  4 Ru 3.02, 4 Ag 3.27


7.
This record from Alexandria describes an optimized crystal structure of Sn3TeO. The functional is PBE.

Summary:
raw formation energy: 1.0669 eV/atom
ΔE to the lowest computed polymorph: 625 kJ/mol of formula units

abc: 5.8887 5.8887 5.8887
angles: 90.00 90.00 90.00
With the nearest neighbours (Å) after each atom.
Fractional positions:
Te  0.0000  0.0000  0.0000  6 Sn 2.94
Sn  0.0000  0.5000  0.0000  2 Te 2.94
Sn  0.0000  0.0000  0.5000  2 Te 2.94
Sn  0.5000  0.0000  0.0000  2 Te 2.94
O  0.5000  0.5000  0.5000  12 Sn 4.16


8.
This record from Alexandria describes an optimized crystal structure of PuAg3. The functional is PBE.

Summary:
ΔE_f: 0.087 eV per atom

abc: 2.9738 8.3611 5.5042
angles: 140.56 90.00 100.24
With the nearest neighbours (Å) after each atom.
Fractional positions:
Pu  0.0000  0.0000  0.0000  2 Pu 2.97, 10 Ag 3.12-3.21
Ag  0.5000  0.0000  0.5000  8 Ag 2.97-3.19, 4 Pu 3.13
Ag  0.7610  0.5221  0.7931  9 Ag 2.97-3.30, 3 Pu 3.12-3.21
Ag  0.2390  0.4779  0.2069  9 Ag 2.97-3.30, 3 Pu 3.12-3.21


| no. | ρ (Mg/m³) |
| --- | --- |
| 1 | 5.905 |
| 2 | 4.045 |
| 3 | 6.074 |
| 4 | 4.774 |
| 5 | 6.236 |
| 6 | 8.744 |
| 7 | 4.064 |
| 8 | 11.293 |